The following is a DFT calculation (PBE) of crystalline Nb2HgAsPb at its relaxed geometry. Values from VASP.

Quantum ESPRESSO input file:
```
&SYSTEM
  ibrav = 0, nat = 5, ntyp = 4
/
ATOMIC_SPECIES
Pb 207.20 Pb.upf
As 74.92 As.upf
Nb 92.91 Nb.upf
Hg 200.59 Hg.upf
CELL_PARAMETERS angstrom
-2.473 -4.319 1.777
-0.945 -1.485 -4.926
4.572 -2.650 -0.078
ATOMIC_POSITIONS angstrom
Pb 0.000 0.000 0.000
As -0.473 -0.743 -2.463
Nb 2.286 -1.325 -0.039
Nb -1.237 -2.160 0.888
Hg 0.577 -4.227 -1.614
```

- Energy of formation: 1770 meV per atom
- Spin magnetization: 0.00 μB per formula unit

***

The following is a DFT calculation (PBE) of crystalline Sm2YEr at its relaxed geometry. Values from VASP.

Quantum ESPRESSO input file:
```
&SYSTEM
  ibrav = 0, nat = 4, ntyp = 3
/
ATOMIC_SPECIES
Sm 150.36 Sm.upf
Y 88.91 Y.upf
Er 167.26 Er.upf
CELL_PARAMETERS angstrom
3.501 0.021 1.042
0.826 5.757 3.505
-0.116 0.442 6.774
ATOMIC_POSITIONS angstrom
Sm 3.460 0.916 7.557
Sm 2.188 3.545 5.373
Y 3.081 4.224 8.762
Er 0.973 1.105 3.107
```

- Energy of formation: 24 meV per atom
- Spin magnetization: 0.00 μB per formula unit

***

The following is a DFT calculation (PBE) of crystalline Nd3ZnGa2Pd9 at its relaxed geometry. Values from VASP.

Quantum ESPRESSO input file:
```
&SYSTEM
  ibrav = 0, nat = 15, ntyp = 4
/
ATOMIC_SPECIES
Nd 144.24 Nd.upf
Zn 65.41 Zn.upf
Ga 69.72 Ga.upf
Pd 106.42 Pd.upf
CELL_PARAMETERS angstrom
-3.799 -3.474 2.584
3.471 -2.073 -4.103
7.587 -2.562 7.712
ATOMIC_POSITIONS angstrom
Nd 5.555 -4.062 2.707
Nd 0.000 0.000 0.000
Nd 1.704 -4.047 3.485
Zn 3.793 -1.281 3.856
Ga 2.305 -2.964 -0.596
Ga 4.954 -5.144 6.788
Pd 2.497 -4.964 6.661
Pd 4.250 -6.011 4.589
Pd 4.416 -3.209 5.356
Pd 2.843 -4.899 0.836
Pd 3.008 -2.098 1.603
Pd 4.762 -3.145 -0.469
Pd -1.900 -1.737 1.292
Pd 1.736 -1.036 -2.052
Pd -0.164 -2.773 -0.760
```

- Energy of formation: -570 meV per atom
- Spin magnetization: 0.00 μB per formula unit

***

The following is a DFT calculation (PBE) of crystalline BaLi4Sm at its relaxed geometry. Values from VASP.

Quantum ESPRESSO input file:
```
&SYSTEM
  ibrav = 0, nat = 6, ntyp = 3
/
ATOMIC_SPECIES
Ba 137.33 Ba.upf
Sm 150.36 Sm.upf
Li 6.94 Li.upf
CELL_PARAMETERS angstrom
6.255 0.000 0.000
3.127 5.417 0.000
3.127 1.806 5.107
ATOMIC_POSITIONS angstrom
Ba 3.127 1.806 1.277
Sm 0.000 0.000 0.000
Li 6.255 3.611 0.609
Li 6.255 1.778 3.202
Li 7.842 4.528 3.202
Li 4.667 4.528 3.202
```

- Energy of formation: 132 meV per atom
- Spin magnetization: 0.00 μB per formula unit

***

The following is a DFT calculation (PBE) of crystalline Na6Cd2Pt at its relaxed geometry. Values from VASP.

Quantum ESPRESSO input file:
```
&SYSTEM
  ibrav = 0, nat = 9, ntyp = 3
/
ATOMIC_SPECIES
Na 22.99 Na.upf
Cd 112.41 Cd.upf
Pt 195.08 Pt.upf
CELL_PARAMETERS angstrom
-4.029 -2.442 2.338
-3.709 -2.331 -2.911
2.829 -10.376 -0.048
ATOMIC_POSITIONS angstrom
Na -3.902 -5.222 -0.349
Na -4.615 -9.845 -0.490
Na -2.751 -12.873 -0.441
Na -0.294 -5.303 -0.130
Na -1.006 -9.927 -0.272
Na -2.158 -2.275 -0.180
Cd -6.323 -7.070 -0.535
Cd 1.415 -8.078 -0.085
Pt 0.000 0.000 0.000
```

- Energy of formation: -94 meV per atom
- Spin magnetization: 0.00 μB per formula unit

***

The following is a DFT calculation (PBE) of crystalline Na3In8Ag4 at its relaxed geometry. Values from VASP.

Quantum ESPRESSO input file:
```
&SYSTEM
  ibrav = 0, nat = 30, ntyp = 3
/
ATOMIC_SPECIES
Na 22.99 Na.upf
In 114.82 In.upf
Ag 107.87 Ag.upf
CELL_PARAMETERS angstrom
8.738 0.000 5.045
2.913 8.238 5.045
0.000 0.000 10.090
ATOMIC_POSITIONS angstrom
Na 8.264 5.843 10.090
Na 3.387 2.395 10.090
Na 7.045 2.395 7.978
Na 4.606 5.843 12.202
Na 7.045 2.395 12.202
Na 4.606 5.843 7.978
In 5.965 0.980 5.045
In 5.686 7.258 15.135
In 1.386 0.980 7.689
In 1.386 0.980 2.401
In 10.264 7.258 12.491
In 10.264 7.258 17.779
In 2.913 5.297 5.045
In 8.738 2.941 15.135
In 9.635 2.772 10.090
In 2.016 5.466 10.090
In 3.921 2.772 13.389
In 3.921 2.772 6.791
In 7.730 5.466 6.791
In 7.730 5.466 13.389
In 5.825 8.160 10.090
In 5.825 0.079 10.090
Ag 0.000 0.000 0.000
Ag 5.825 4.119 5.045
Ag 0.000 0.000 5.045
Ag 4.369 0.000 2.523
Ag 1.456 4.119 7.568
Ag 4.369 0.000 7.568
Ag 1.456 4.119 2.523
Ag 5.825 4.119 10.090
```

- Energy of formation: -76 meV per atom
- Spin magnetization: 0.00 μB per formula unit

***

The following is a DFT calculation (PBE) of crystalline LiRuBr at its relaxed geometry. Values from VASP.

Quantum ESPRESSO input file:
```
&SYSTEM
  ibrav = 0, nat = 6, ntyp = 3
/
ATOMIC_SPECIES
Li 6.94 Li.upf
Ru 101.07 Ru.upf
Br 79.90 Br.upf
CELL_PARAMETERS angstrom
3.686 0.000 0.000
-1.841 3.232 -0.004
-0.028 -1.694 10.069
ATOMIC_POSITIONS angstrom
Li -0.182 -0.363 8.789
Li -0.180 -0.370 5.537
Ru 1.693 2.429 0.798
Ru -0.148 1.350 1.799
Br -0.182 1.795 7.164
Br 1.657 0.785 3.904
```

- Energy relative to the elements, uncorrected: -327 meV/atom
- Spin magnetization: 0.25 μB per formula unit

***

The following is a DFT calculation (PBE) of crystalline Ca4MgTl2 at its relaxed geometry. Values from VASP.

Quantum ESPRESSO input file:
```
&SYSTEM
  ibrav = 0, nat = 7, ntyp = 3
/
ATOMIC_SPECIES
Mg 24.30 Mg.upf
Tl 204.38 Tl.upf
Ca 40.08 Ca.upf
CELL_PARAMETERS angstrom
5.849 0.000 0.000
0.000 5.849 0.000
2.924 2.924 7.865
ATOMIC_POSITIONS angstrom
Mg 0.000 0.000 0.000
Tl 2.924 2.924 1.637
Tl 5.849 5.849 6.228
Ca 2.924 2.924 4.741
Ca 5.849 5.849 3.124
Ca 0.000 2.924 0.000
Ca 2.924 0.000 0.000
```

- Energy of formation: 79 meV per atom
- Spin magnetization: 0.00 μB per formula unit

***

The following is a DFT calculation (PBE) of crystalline Nd4Dy3Ho2 at its relaxed geometry. Values from VASP.

Quantum ESPRESSO input file:
```
&SYSTEM
  ibrav = 0, nat = 18, ntyp = 3
/
ATOMIC_SPECIES
Nd 144.24 Nd.upf
Dy 162.50 Dy.upf
Ho 164.93 Ho.upf
CELL_PARAMETERS angstrom
7.084 -0.001 -0.001
0.007 9.781 0.955
0.007 4.055 8.952
ATOMIC_POSITIONS angstrom
Nd 3.550 8.644 2.142
Nd 7.091 9.023 2.413
Nd 3.548 5.192 7.764
Nd 0.008 4.813 7.493
Nd 7.088 3.667 4.453
Nd 3.553 8.438 7.869
Nd 0.011 10.169 5.453
Nd 3.546 5.398 2.037
Dy 5.315 2.363 1.689
Dy 5.327 11.475 8.213
Dy 1.784 11.473 8.217
Dy 1.772 2.361 1.693
Dy 1.778 6.919 4.951
Dy 5.321 6.916 4.955
Ho 3.546 3.631 4.830
Ho 0.011 8.093 8.025
Ho 3.553 10.204 5.076
Ho 7.088 5.742 1.881
```

- Energy of formation: 52 meV per atom
- Spin magnetization: 0.00 μB per formula unit

***

The following is a DFT calculation (PBE) of crystalline Ho4HfRh5 at its relaxed geometry. Values from VASP.

Quantum ESPRESSO input file:
```
&SYSTEM
  ibrav = 0, nat = 10, ntyp = 3
/
ATOMIC_SPECIES
Ho 164.93 Ho.upf
Hf 178.49 Hf.upf
Rh 102.91 Rh.upf
CELL_PARAMETERS angstrom
-3.222 0.089 0.895
-0.853 -1.364 -2.933
1.483 -15.800 6.915
ATOMIC_POSITIONS angstrom
Ho 0.291 -3.105 1.359
Ho 0.591 -6.300 2.757
Ho 0.892 -9.500 4.158
Ho 1.192 -12.695 5.556
Hf 0.000 0.000 0.000
Rh -1.906 -2.028 -0.410
Rh -1.598 -5.318 1.030
Rh -1.295 -8.537 2.438
Rh -0.993 -11.756 3.847
Rh -0.684 -15.046 5.287
```

- Energy of formation: -906 meV per atom
- Spin magnetization: 0.00 μB per formula unit

***

The following is a DFT calculation (PBE) of crystalline SmHfGe at its relaxed geometry. Values from VASP.

Quantum ESPRESSO input file:
```
&SYSTEM
  ibrav = 0, nat = 6, ntyp = 3
/
ATOMIC_SPECIES
Sm 150.36 Sm.upf
Hf 178.49 Hf.upf
Ge 72.64 Ge.upf
CELL_PARAMETERS angstrom
-1.133 -3.908 -1.056
0.369 0.992 -4.068
8.107 -0.821 2.707
ATOMIC_POSITIONS angstrom
Sm 2.353 -2.264 -2.511
Sm 4.991 -1.472 0.094
Hf -0.566 -1.954 -0.528
Hf 0.184 0.496 -2.034
Ge 1.917 -0.565 0.036
Ge 5.427 -3.171 -2.453
```

- Energy of formation: -614 meV per atom
- Spin magnetization: 0.74 μB per formula unit

***

The following is a DFT calculation (PBE) of crystalline Mn4Re at its relaxed geometry. Values from VASP.

Quantum ESPRESSO input file:
```
&SYSTEM
  ibrav = 0, nat = 5, ntyp = 2
/
ATOMIC_SPECIES
Mn 54.94 Mn.upf
Re 186.21 Re.upf
CELL_PARAMETERS angstrom
-1.786 1.786 4.817
1.786 -1.786 4.817
1.786 1.786 -4.817
ATOMIC_POSITIONS angstrom
Mn 1.786 0.000 2.409
Mn 0.000 0.000 3.795
Mn 0.000 0.000 5.840
Mn 0.000 1.786 2.409
Re 0.000 0.000 0.000
```

- Energy of formation: 449 meV per atom
- Spin magnetization: 0.01 μB per formula unit